[1]
A relaxed structure of NpSiH. Source: Alexandria via LeMat-Bulk, functional GGA-PBE.

Results
Spin magnetization ... 9.2 Bohr magnetons per cell
Uncorrected energy ... -7.3288 eV/atom

Cell: 3.113 3.330 8.772 Å, 90.00 69.23 90.00°
Atoms (fractional coordinates):
Np  0.031  0.415  0.406
Np  0.144  0.915  0.793
Si  0.400  0.415  0.037
Si  0.774  0.915  0.163
H  0.747  0.415  0.690
H  0.428  0.915  0.509



[2]
A relaxed structure of NpSiH. Source: Alexandria via LeMat-Bulk, functional GGA-PBE.

Results
Spin magnetization ... 7.8 Bohr magnetons per cell
Uncorrected energy ... -7.5667 eV/atom

Cell: 3.921 4.077 5.756 Å, 110.76 90.00 90.00°
Atoms (fractional coordinates):
Np  0.390  0.776  0.314
Np  0.890  0.082  0.925
Si  0.890  0.366  0.493
Si  0.390  0.493  0.747
H  0.390  0.185  0.132
H  0.890  0.673  0.108



[3]
A relaxed structure of NpSiH. Source: Alexandria via LeMat-Bulk, functional GGA-PBE.

Results
Spin magnetization ... 2.7 Bohr magnetons per cell
Uncorrected energy ... -7.1002 eV/atom

Cell: 5.721 5.721 6.293 Å, 107.88 107.88 108.93°
Atoms (fractional coordinates):
Np  0.873  0.127  0.000
Np  0.123  0.877  0.500
Np  0.127  0.873  0.000
Np  0.377  0.623  0.500
H  0.829  0.829  0.659
H  0.171  0.171  0.341
H  0.079  0.579  0.159
H  0.421  0.921  0.841
Si  0.625  0.375  0.750
Si  0.125  0.375  0.750
Si  0.625  0.875  0.250
Si  0.625  0.375  0.250



[4]
A relaxed structure of NpSiH. Source: Alexandria via LeMat-Bulk, functional GGA-PBE.

Results
Spin magnetization ... 3.7 Bohr magnetons per cell
Uncorrected energy ... -7.1574 eV/atom

Cell: 4.189 3.640 3.640 Å, 120.00 90.00 90.00°
Atoms (fractional coordinates):
Np  0.167  0.000  0.000
H  0.166  0.333  0.667
Si  0.667  0.667  0.333



[5]
A relaxed structure of NpSnH2. Source: Alexandria via LeMat-Bulk, functional GGA-PBE.

Results
Spin magnetization ... 3.2 Bohr magnetons per cell
Uncorrected energy ... -6.0138 eV/atom

Cell: 3.576 3.576 5.716 Å, 71.77 71.77 60.00°
Atoms (fractional coordinates):
Np  0.000  0.000  0.000
H  0.703  0.703  0.892
H  0.297  0.297  0.108
Sn  0.500  0.500  0.500



[6]
A relaxed structure of NpTa2H8. Source: Alexandria via LeMat-Bulk, functional GGA-PBE.

Results
Spin magnetization ... 4.1 Bohr magnetons per cell
Uncorrected energy ... -5.8667 eV/atom

Cell: 3.344 5.388 5.388 Å, 115.49 91.75 91.75°
Atoms (fractional coordinates):
Np  0.000  0.997  0.997
Ta  0.500  0.656  0.338
Ta  0.500  0.338  0.656
H  0.472  0.977  0.685
H  0.472  0.685  0.977
H  0.807  0.620  0.620
H  0.000  0.247  0.748
H  0.000  0.748  0.247
H  0.193  0.373  0.373
H  0.528  0.309  0.017
H  0.528  0.017  0.309



[7]
A relaxed structure of NpTaH4. Source: Alexandria via LeMat-Bulk, functional GGA-PBE.

Results
Spin magnetization ... 8.1 Bohr magnetons per cell
Uncorrected energy ... -6.4976 eV/atom

Cell: 5.159 5.159 5.501 Å, 117.94 117.94 90.04°
Atoms (fractional coordinates):
Np  0.375  0.625  0.250
Np  0.625  0.375  0.750
Ta  0.125  0.875  0.750
Ta  0.875  0.125  0.250
H  0.000  0.210  0.000
H  0.500  0.790  0.000
H  0.210  0.500  0.500
H  0.790  0.500  0.500
H  0.210  0.000  0.500
H  0.500  0.210  0.000
H  0.790  0.000  0.500
H  0.000  0.790  0.000



[8]
A relaxed structure of NpTa2H. Source: Alexandria via LeMat-Bulk, functional GGA-PBE.

Results
Spin magnetization ... 3.1 Bohr magnetons per cell
Uncorrected energy ... -9.7606 eV/atom

Cell: 2.913 2.913 8.491 Å, 80.12 80.12 60.00°
Atoms (fractional coordinates):
Np  0.000  0.000  0.000
H  0.500  0.500  0.500
Ta  0.220  0.220  0.339
Ta  0.780  0.780  0.661